# PBE Cd4MoCl, relaxed
# E_form (uncorrected) (kJ/mol of atoms): 52
# Density of states at the Fermi level (states/eV/atom): 0.471
data_Cd4MoCl
_chemical_formula_sum 'Cd16 Mo4 Cl4'
_space_group_name_H-M_alt 'F -4 3 m'
_space_group_IT_number 216
_space_group_name_Hall 'F -4 2 3'
_cell_length_a 8.2778
_cell_length_b 8.2778
_cell_length_c 8.2778
_cell_angle_alpha 90.00
_cell_angle_beta 90.00
_cell_angle_gamma 90.00
loop_
_atom_site_label
_atom_site_type_symbol
_atom_site_fract_x
_atom_site_fract_y
_atom_site_fract_z
Cd1 Cd 0.1254 0.1254 0.1254
Mo1 Mo 0.0000 0.0000 0.5000
Cl1 Cl 0.2500 0.2500 0.7500